(1)
Entry from Alexandria: Na2Hf2ZrSe6 after structural relaxation (PBE-GGA).

Geometry as POSCAR:
```
Na2Hf2ZrSe6
1.0
6.561 -0.027 0.065
-3.266 5.690 0.065
-1.165 -2.003 7.242
Na Hf Zr Se
2 2 1 6
direct
0.835 0.165 0.000
0.165 0.835 0.000
0.332 0.668 0.500
0.668 0.332 0.500
0.000 0.000 0.500
0.732 0.732 0.721
0.076 0.412 0.722
0.268 0.268 0.279
0.412 0.076 0.722
0.924 0.588 0.278
0.588 0.924 0.278
```

Calculated values
Formation energy from raw total energies ... -30.6 kcal/mol of atoms

(2)
Entry from Alexandria: Na4Hf3ZrSe8 after structural relaxation (PBE-GGA).

Geometry as POSCAR:
```
Na4Hf3ZrSe8
1.0
-6.007 1.659 4.379
1.936 -6.454 5.100
5.431 5.216 -1.150
Na Hf Zr Se
4 3 1 8
direct
0.500 0.000 0.000
0.500 0.000 0.500
0.000 0.000 0.000
0.000 0.000 0.500
0.500 0.500 0.000
0.500 0.500 0.500
0.000 0.500 0.500
0.000 0.500 0.000
0.244 0.725 0.981
0.244 0.725 0.487
0.259 0.277 0.518
0.738 0.725 0.981
0.262 0.275 0.019
0.741 0.723 0.482
0.756 0.275 0.513
0.756 0.275 0.019
```

Calculated values
Formation energy from raw total energies ... -29.2 kcal/mol of atoms

(3)
Entry from Alexandria: Na3HfZr3Se8 after structural relaxation (PBE-GGA).

Geometry as POSCAR:
```
Na3HfZr3Se8
1.0
-7.567 -0.344 0.725
4.134 -6.385 0.183
0.432 5.009 6.878
Na Hf Zr Se
3 1 3 8
direct
0.000 0.000 0.000
0.000 0.500 0.000
0.500 0.500 0.000
0.000 0.000 0.500
0.500 0.000 0.500
0.500 0.500 0.500
0.000 0.500 0.500
0.257 0.515 0.273
0.743 0.485 0.727
0.760 0.521 0.278
0.240 0.479 0.722
0.760 0.017 0.278
0.240 0.983 0.722
0.257 0.017 0.278
0.743 0.983 0.722
```

Calculated values
Formation energy from raw total energies ... -30.7 kcal/mol of atoms

(4)
Entry from Alexandria: Na2HfZr2Se6 after structural relaxation (PBE-GGA).

Geometry as POSCAR:
```
Na2HfZr2Se6
1.0
6.575 -0.020 0.055
-3.268 5.706 0.055
-1.182 -2.031 7.251
Na Hf Zr Se
2 1 2 6
direct
0.832 0.168 0.000
0.168 0.832 0.000
0.000 0.000 0.500
0.332 0.668 0.500
0.668 0.332 0.500
0.744 0.744 0.722
0.078 0.404 0.723
0.256 0.256 0.278
0.404 0.078 0.723
0.922 0.596 0.277
0.596 0.922 0.277
```

Calculated values
Formation energy from raw total energies ... -30.9 kcal/mol of atoms

(5)
Entry from Alexandria: Na3HfSi after structural relaxation (PBE-GGA).

Geometry as POSCAR:
```
Na3HfSi
1.0
5.410 0.000 0.000
0.000 5.410 0.000
0.000 0.000 5.410
Na Si Hf
3 1 1
direct
0.000 0.500 0.000
0.000 0.000 0.500
0.500 0.000 0.000
0.000 0.000 0.000
0.500 0.500 0.500
```

Calculated values
Formation energy from raw total energies ... 26.1 kcal/mol of atoms
Relative energy among the computed polymorphs ... 0.000 eV per atom

(6)
Entry from Alexandria: NaHf3Si after structural relaxation (PBE-GGA).

Geometry as POSCAR:
```
NaHf3Si
1.0
-3.591 -2.946 -1.881
-0.536 -2.201 4.470
-3.454 3.404 1.262
Na Si Hf
1 1 3
direct
0.500 0.500 0.500
0.000 0.000 0.000
0.000 0.500 0.000
0.000 0.000 0.500
0.500 0.000 0.000
```

Calculated values
Formation energy from raw total energies ... 11.4 kcal/mol of atoms
Relative energy among the computed polymorphs ... 0.000 eV per atom

(7)
Entry from Alexandria: Na2HfSi after structural relaxation (PBE-GGA).

Geometry as POSCAR:
```
Na2HfSi
1.0
8.656 0.000 0.000
0.000 8.656 0.000
4.328 4.328 2.682
Na Si Hf
4 2 2
direct
0.576 0.125 0.250
0.174 0.625 0.250
0.375 0.424 0.750
0.875 0.826 0.750
0.500 0.500 0.000
0.250 0.750 0.500
0.000 0.000 0.000
0.750 0.250 0.500
```

Calculated values
Formation energy from raw total energies ... 15.4 kcal/mol of atoms

(8)
Entry from Alexandria: NaHf3Si after structural relaxation (PBE-GGA).

Geometry as POSCAR:
```
NaHf3Si
1.0
-1.140 1.441 -4.487
3.828 -2.410 -1.747
-2.749 -3.953 -0.571
Na Si Hf
1 1 3
direct
0.000 0.000 0.000
0.500 0.500 0.500
0.000 0.500 0.000
0.000 0.000 0.500
0.500 0.000 0.000
```

Calculated values
Formation energy from raw total energies ... 37.5 kcal/mol of atoms
Relative energy among the computed polymorphs ... 1.131 eV per atom

no.,DFT total energy (eV/atom)
1,-6.05
2,-5.74
3,-5.83
4,-5.94
5,-2.74
6,-6.83
7,-3.83
8,-5.70